{"formula": "NiF4", "functional": "PBE with a Hubbard U", "state": "optimized geometry", "m_tot_mub_per_fu": 2.02, "space_group": "I4/mcm", "volume_a3_per_atom": 14.96, "dft_energy_ev_per_atom": -3.063, "lattice_angstrom": [[-2.7301, 2.7301, 5.0174], [2.7301, -2.7301, 5.0174], [2.7301, 2.7301, -5.0174]], "species": ["Ni", "Ni", "F", "F", "F", "F", "F", "F", "F", "F"], "fractional_positions": [[0.0000, 0.5000, 0.5000], [0.5000, 0.0000, 0.5000], [0.2823, 0.4587, 0.5000], [0.0413, 0.2177, 0.5000], [0.7177, 0.5413, 0.5000], [0.5413, 0.0413, 0.8236], [0.9587, 0.7823, 0.5000], [0.7823, 0.2823, 0.8236], [0.4587, 0.9587, 0.1764], [0.2177, 0.7177, 0.1764]]}